VASP calculation (PBE) on an optimized crystal structure of Ba3Np2O7.

- D(E_F) (states/eV per cell) = 22.657
- magnetization (μB per formula unit) = 6.00
- calculated density (g/cm³) = 7.31
- relative energy among the computed polymorphs (meV per atom) = 112

abc: 4.470 23.303 4.355
angles: 90.00 90.00 90.00
Space group Cmmm (No. 65)
Unique sites:
Ba: 0.000 0.000 0.000 [2 per cell]
Ba: 0.000 0.178 0.000 [4 per cell]
Np: 0.000 0.404 0.500 [4 per cell]
O: 0.000 0.095 0.500 [4 per cell]
O: 0.000 0.312 0.500 [4 per cell]
O: 0.000 0.404 0.000 [4 per cell]
O: 0.000 0.500 0.500 [2 per cell]